## a
Compound: ZrAg3Se
Source: Alexandria
Functional: GGA-PBE
Structure: optimized geometry

Properties
Its density of states at the Fermi level is 0.8827 states/eV per atom. Its volume is 120 Å³ per cell.

Cell: 4.928 4.928 4.928 Å, 90.00 90.00 90.00°
Element x y z (fractional)
Ag: 0.000 0.500 0.000
Se: 0.000 0.000 0.000
Ag: 0.000 0.000 0.500
Zr: 0.500 0.500 0.500
Ag: 0.500 0.000 0.000

***

## b
Compound: ZrAg3Se
Source: Alexandria
Functional: GGA-PBE
Structure: optimized geometry

Properties
Its density of states at the Fermi level is 0.6806 states/eV per atom. Its volume is 149 Å³ per cell.

Cell: 5.301 5.301 5.301 Å, 90.00 90.00 90.00°
Element x y z (fractional)
Ag: 0.500 0.000 0.000
Ag: 0.000 0.500 0.000
Ag: 0.000 0.000 0.500
Zr: 0.000 0.000 0.000
Se: 0.500 0.500 0.500

***

Least stable structure: b

***

## a
Compound: SiAg
Source: Alexandria
Functional: GGA-PBE
Structure: optimized geometry

Properties
Its density of states at the Fermi level is 0.3177 states/eV per atom. Its volume is 107 Å³ per cell.

Cell: 6.146 6.146 7.463 Å, 59.60 59.60 26.40°
Element x y z (fractional)
Ag: 0.760 0.760 0.856
Si: 0.288 0.288 0.121
Si: 0.080 0.080 0.437
Si: 0.650 0.650 0.639
Ag: 0.999 0.999 0.011
Ag: 0.390 0.390 0.435

***

## b
Compound: SiAg
Source: Alexandria
Functional: GGA-PBE
Structure: optimized geometry

Properties
Its density of states at the Fermi level is 0.3677 states/eV per atom. Its volume is 68 Å³ per cell.

Cell: 4.008 4.008 4.209 Å, 90.00 90.00 90.00°
Element x y z (fractional)
Ag: 0.750 0.250 0.000
Si: 0.750 0.750 0.500
Ag: 0.250 0.750 0.000
Si: 0.250 0.250 0.500

***

Least stable structure: b

***

## a
Compound: Si3Ag
Source: Alexandria
Functional: GGA-PBE
Structure: optimized geometry

Properties
Its density of states at the Fermi level is 0.2531 states/eV per atom. Its volume is 65 Å³ per cell.

Cell: 5.390 5.390 5.390 Å, 117.37 117.37 117.37°
Element x y z (fractional)
Si: 0.000 0.500 0.500
Ag: 0.000 0.000 0.000
Si: 0.500 0.500 0.000
Si: 0.500 0.000 0.500

***

## b
Compound: Si3Ag
Source: Alexandria
Functional: GGA-PBE
Structure: optimized geometry

Properties
Its density of states at the Fermi level is 0.0485 states/eV per atom. Its volume is 65 Å³ per cell.

Cell: 10.345 10.345 10.345 Å, 15.04 15.04 15.04°
Element x y z (fractional)
Ag: 0.000 0.000 0.000
Si: 0.500 0.500 0.500
Si: 0.748 0.748 0.748
Si: 0.252 0.252 0.252

***

Least stable structure: a

***

## a
Compound: Si3Ag
Source: Alexandria
Functional: GGA-PBE
Structure: optimized geometry

Properties
Its density of states at the Fermi level is 0.3010 states/eV per atom. Its volume is 65 Å³ per cell.

Cell: 4.766 4.766 4.766 Å, 128.24 128.24 76.23°
Element x y z (fractional)
Si: 0.500 0.500 0.000
Ag: 0.000 0.000 0.000
Si: 0.250 0.750 0.500
Si: 0.750 0.250 0.500

***

## b
Compound: Si3Ag
Source: Alexandria
Functional: GGA-PBE
Structure: optimized geometry

Properties
Its density of states at the Fermi level is 0.3266 states/eV per atom. Its volume is 65 Å³ per cell.

Cell: 2.654 5.205 4.699 Å, 90.00 90.00 90.00°
Element x y z (fractional)
Si: 0.000 0.500 0.416
Si: 0.500 0.500 0.916
Ag: 0.000 0.000 0.917
Si: 0.500 0.000 0.417

***

Least stable structure: a